(1)
3
Lattice="3.942 0.000 0.000 1.971 3.414 0.000 1.971 1.138 3.218" Properties=species:S:1:pos:R:3 comment="ReNiRh | the Alexandria database | SCAN | single point on PBEsol structure" final_energy_ev_per_atom=-39.706 vol_a3_per_cell=43.3 n_ef_per_ev_atom=1.7269 pbc="T T T"
Rh 3.942 2.276 1.609
Ni 1.971 1.138 0.805
Re 0.000 0.000 0.000

***

(2)
4
Lattice="-3.109 -1.420 1.127 1.600 -3.201 0.381 1.641 3.175 2.783" Properties=species:S:1:pos:R:3 comment="ReNi2Rh | the Alexandria database | SCAN | single point on PBEsol structure" final_energy_ev_per_atom=-34.329 vol_a3_per_cell=48.6 n_ef_per_ev_atom=0.7559 pbc="T T T"
Re 0.000 0.000 0.000
Rh 1.244 -1.168 1.959
Ni -0.755 -2.311 0.754
Ni -1.111 -0.278 2.332